[1]
This record from the Alexandria database describes a relaxed Pm4Tl2Hg5 crystal. The functional is GGA-PBE.

```
data_Pm4Tl2Hg5
_cell_length_a 8.224
_cell_length_b 3.668
_cell_length_c 10.232
_cell_angle_alpha 90.00
_cell_angle_beta 97.75
_cell_angle_gamma 90.00
_symmetry_space_group_name_H-M 'P 1 2/m 1'
_symmetry_Int_Tables_number 10
loop_
_symmetry_equiv_pos_as_xyz
'x,y,z'
'-x,-y,-z'
'-x,y,-z'
'x,-y,z'
loop_
_atom_site_label
_atom_site_type_symbol
_atom_site_fract_x
_atom_site_fract_y
_atom_site_fract_z
Pm1 Pm 0.186 0.000 0.396
Pm2 Pm 0.272 0.000 0.930
Tl1 Tl 0.078 0.500 0.139
Hg1 Hg 0.165 0.500 0.653
Hg2 Hg 0.458 0.500 0.195
Hg3 Hg 0.500 0.500 0.500
```

[2]
This record from the Alexandria database describes a relaxed Pm8TlHg2 crystal. The functional is GGA-PBE.

```
data_Pm8TlHg2
_cell_length_a 17.660
_cell_length_b 5.163
_cell_length_c 8.222
_cell_angle_alpha 90.00
_cell_angle_beta 114.38
_cell_angle_gamma 90.00
_symmetry_space_group_name_H-M 'C 1 2/m 1'
_symmetry_Int_Tables_number 12
loop_
_symmetry_equiv_pos_as_xyz
'x,y,z'
'-x,-y,-z'
'-x,y,-z'
'x,-y,z'
'x+1/2,y+1/2,z'
'-x+1/2,-y+1/2,-z'
'-x+1/2,y+1/2,-z'
'x+1/2,-y+1/2,z'
loop_
_atom_site_label
_atom_site_type_symbol
_atom_site_fract_x
_atom_site_fract_y
_atom_site_fract_z
Pm1 Pm 0.042 0.000 0.251
Pm2 Pm 0.093 0.500 0.960
Pm3 Pm 0.175 0.000 0.758
Pm4 Pm 0.178 0.500 0.457
Tl1 Tl 0.000 0.500 0.500
Hg1 Hg 0.196 0.000 0.154
```

Results for ΔE_f: -0.330; -0.216 (in eV per atom, following the order of the records).
Results for raw total energy: -28.870; -86.711 (in eV per cell, following the order of the records).